Record 1
VASP calculation (GGA-PBE) on a relaxed structure of Ho3Mg3AgPd2.

The structure in POSCAR format:
```
Ho3Mg3AgPd2
1.0
7.5649 0.0000 0.0000
-3.7825 6.5514 0.0000
0.0000 0.0000 3.9982
Ho Mg Ag Pd
3 3 1 2
Direct
0.0000 0.4173 0.0000
0.4173 0.0000 0.0000
0.5827 0.5827 0.0000
0.0000 0.7473 0.5000
0.2527 0.2527 0.5000
0.7473 0.0000 0.5000
0.0000 0.0000 0.0000
0.3333 0.6667 0.5000
0.6667 0.3333 0.5000
```

Output
E_tot in eV/atom: -4.0628
Crystal system: hexagonal
SG: No. 189

=====

Record 2
VASP calculation (GGA-PBE) on a relaxed structure of Ho3Mg3AgPdPt.

The structure in POSCAR format:
```
Ho3Mg3AgPdPt
1.0
7.5342 0.0000 0.0000
-3.7671 6.5248 0.0000
0.0000 0.0000 3.9980
Ho Mg Ag Pd Pt
3 3 1 1 1
Direct
0.0878 0.3392 0.0000
0.2514 0.9122 0.0000
0.6608 0.7486 0.0000
0.4139 0.3343 0.5000
0.6657 0.0797 0.5000
0.9203 0.5861 0.5000
0.6667 0.3333 0.0000
0.0000 0.0000 0.5000
0.3333 0.6667 0.5000
```

Output
E_tot in eV/atom: -4.2547
Crystal system: hexagonal
SG: No. 174

=====

Record 3
VASP calculation (GGA-PBE) on a relaxed structure of Ho3Mg3ZnAgPd.

The structure in POSCAR format:
```
Ho3Mg3ZnAgPd
1.0
7.6095 0.0000 0.0000
-3.8048 6.5900 0.0000
0.0000 0.0000 4.0357
Ho Mg Zn Ag Pd
3 3 1 1 1
Direct
0.0137 0.4235 0.0000
0.4098 0.9863 0.0000
0.5765 0.5902 0.0000
0.2514 0.2483 0.5000
0.7517 0.0031 0.5000
0.9969 0.7486 0.5000
0.6667 0.3333 0.5000
0.0000 0.0000 0.0000
0.3333 0.6667 0.5000
```

Output
E_tot in eV/atom: -3.4876
Crystal system: hexagonal
SG: No. 174

=====

Record 4
VASP calculation (GGA-PBE) on a relaxed structure of Ho3Mg3TlAgPt.

The structure in POSCAR format:
```
Ho3Mg3TlAgPt
1.0
7.8967 0.0000 0.0000
-3.9484 6.8388 0.0000
0.0000 0.0000 3.9157
Ho Mg Tl Ag Pt
3 3 1 1 1
Direct
0.0966 0.3682 0.0000
0.2716 0.9034 0.0000
0.6318 0.7284 0.0000
0.4155 0.3331 0.5000
0.6669 0.0824 0.5000
0.9176 0.5845 0.5000
0.0000 0.0000 0.5000
0.6667 0.3333 0.0000
0.3333 0.6667 0.5000
```

Output
E_tot in eV/atom: -3.8332
Crystal system: hexagonal
SG: No. 174

=====

Record 5
VASP calculation (GGA-PBE) on a relaxed structure of Ho3Mg3ZnAgPt.

The structure in POSCAR format:
```
Ho3Mg3ZnAgPt
1.0
7.7043 0.0000 0.0000
-3.8521 6.6721 0.0000
0.0000 0.0000 3.9282
Ho Mg Zn Ag Pt
3 3 1 1 1
Direct
0.0922 0.3552 0.0000
0.2630 0.9078 0.0000
0.6448 0.7370 0.0000
0.4100 0.3273 0.5000
0.6727 0.0827 0.5000
0.9173 0.5900 0.5000
0.0000 0.0000 0.5000
0.6667 0.3333 0.0000
0.3333 0.6667 0.5000
```

Output
E_tot in eV/atom: -3.6865
Crystal system: hexagonal
SG: No. 174

=====

Record 6
VASP calculation (GGA-PBE) on a relaxed structure of HoMgAgS3.

The structure in POSCAR format:
```
HoMgAgS3
1.0
1.8799 -6.2539 0.0000
1.8799 6.2539 0.0000
0.0000 0.0000 10.5422
Ho Mg Ag S
2 2 2 6
Direct
0.0000 0.0000 0.0000
0.0000 0.0000 0.5000
0.2354 0.7646 0.7500
0.7646 0.2354 0.2500
0.4824 0.5176 0.2500
0.5176 0.4824 0.7500
0.1195 0.8805 0.2500
0.3544 0.6456 0.0713
0.3544 0.6456 0.4287
0.6456 0.3544 0.5713
0.6456 0.3544 0.9287
0.8805 0.1195 0.7500
```

Output
E_tot in eV/atom: -4.7156
Crystal system: orthorhombic
SG: No. 63

=====

Record 7
VASP calculation (GGA-PBE) on a relaxed structure of HoMgAgTeS2.

The structure in POSCAR format:
```
HoMgAgTeS2
1.0
1.9304 -6.7934 0.0000
1.9304 6.7934 0.0000
0.0000 0.0000 10.9238
Ho Mg Ag Te S
2 2 2 2 4
Direct
0.0000 0.0000 0.0000
0.0000 0.0000 0.5000
0.1932 0.8068 0.7500
0.8068 0.1932 0.2500
0.4928 0.5072 0.2500
0.5072 0.4928 0.7500
0.1380 0.8620 0.2500
0.8620 0.1380 0.7500
0.3708 0.6292 0.0782
0.3708 0.6292 0.4218
0.6292 0.3708 0.5782
0.6292 0.3708 0.9218
```

Output
E_tot in eV/atom: -4.4213
Crystal system: orthorhombic
SG: No. 63

=====

Record 8
VASP calculation (GGA-PBE) on a relaxed structure of HoMgAgTe2S.

The structure in POSCAR format:
```
HoMgAgTe2S
1.0
2.0580 -6.9649 0.0000
2.0580 6.9649 0.0000
0.0000 0.0000 10.5667
Ho Mg Ag Te S
2 2 2 4 2
Direct
0.0000 0.0000 0.0000
0.0000 0.0000 0.5000
0.2764 0.7236 0.7500
0.7236 0.2764 0.2500
0.4861 0.5139 0.2500
0.5139 0.4861 0.7500
0.3453 0.6547 0.0665
0.3453 0.6547 0.4335
0.6547 0.3453 0.5665
0.6547 0.3453 0.9335
0.1000 0.9000 0.2500
0.9000 0.1000 0.7500
```

Output
E_tot in eV/atom: -4.0752
Crystal system: orthorhombic
SG: No. 63